# Ti3AlSn

A relaxed Ti3AlSn crystal (GGA-PBE, Alexandria via LeMat-Bulk).

Unit cell a=6.449 b=6.449 c=5.213 alpha=90.00 beta=90.00 gamma=120.00
Fractional coordinates of all 10 atoms:
Ti (0.195, 0.389, 0.250)
Ti (0.195, 0.805, 0.250)
Ti (0.389, 0.195, 0.750)
Ti (0.611, 0.805, 0.250)
Ti (0.805, 0.195, 0.750)
Ti (0.805, 0.611, 0.750)
Al (0.000, 0.000, 0.000)
Al (0.000, 0.000, 0.500)
Sn (0.333, 0.667, 0.750)
Sn (0.667, 0.333, 0.250)

## Properties
As for the energy above the lowest structure with this stoichiometry: 0.031 eV per atom. As for the density of states at the Fermi level: 9.79 states/eV per cell. As for the electronic total energy: -62.6 eV per cell. As for the energy relative to the elements: 0.03 eV per atom. As for the space group: P6_3/mmc (194).